Density functional theory data (PBE-GGA) for crystalline Li2Ac3Se2O4 at its relaxed geometry.

The structure in POSCAR format:
```
Li2Ac3Se2O4
1.0
-2.073 2.073 11.367
2.073 -2.073 11.367
2.073 2.073 -11.367
Li Ac Se O
2 3 2 4
direct
0.081 0.081 0.000
0.919 0.919 0.000
0.352 0.352 0.000
0.500 0.500 0.000
0.648 0.648 0.000
0.204 0.204 0.000
0.796 0.796 0.000
0.075 0.575 0.500
0.425 0.925 0.500
0.575 0.075 0.500
0.925 0.425 0.500
```

Computed properties:
E in eV per atom: -6.29
Raw formation energy in kJ/mol of formula units: -2532
Mass density in g cm⁻³: 7.8



Density functional theory data (PBE-GGA) for crystalline Li2Ac3Se3O2 at its relaxed geometry.

The structure in POSCAR format:
```
Li2Ac3Se3O2
1.0
-2.182 2.182 13.229
2.182 -2.182 13.229
2.182 2.182 -13.229
Li Ac Se O
2 3 3 2
direct
0.250 0.750 0.500
0.750 0.250 0.500
0.000 0.000 0.000
0.361 0.361 0.000
0.639 0.639 0.000
0.119 0.119 0.000
0.500 0.500 0.000
0.881 0.881 0.000
0.278 0.278 0.000
0.722 0.722 0.000
```

Computed properties:
E in eV per atom: -5.70
Raw formation energy in kJ/mol of formula units: -1972
Mass density in g cm⁻³: 6.4



Density functional theory data (PBE-GGA) for crystalline LiAcSe2O6 at its relaxed geometry.

The structure in POSCAR format:
```
LiAcSe2O6
1.0
2.706 1.562 5.970
-2.706 1.562 5.970
0.000 -3.125 5.970
Li Ac Se O
1 1 2 6
direct
0.000 0.000 0.000
0.500 0.500 0.500
0.293 0.293 0.293
0.707 0.707 0.707
0.018 0.786 0.441
0.214 0.559 0.982
0.441 0.018 0.786
0.559 0.982 0.214
0.786 0.441 0.018
0.982 0.214 0.559
```

Computed properties:
E in eV per atom: -6.01
Raw formation energy in kJ/mol of formula units: -1679
Mass density in g cm⁻³: 5.3